Cs2RbSbCl6: relaxed, PBEsol.

Output
Symmetry: Fm-3m
DFT total energy in eV per atom: -3.496
Energy relative to the elements, uncorrected in eV/atom: -1.54
Size of the total moment in μB per atom: 0.000

Unit cell a=8.0235 b=8.0235 c=8.0235 alpha=60.00 beta=60.00 gamma=60.00
Fractional coordinates of all 10 atoms:
Cs 0.2500 0.2500 0.2500
Cs 0.7500 0.7500 0.7500
Rb 0.0000 0.0000 0.0000
Sb 0.5000 0.5000 0.5000
Cl 0.2684 0.2684 0.7316
Cl 0.2684 0.7316 0.2684
Cl 0.2684 0.7316 0.7316
Cl 0.7316 0.2684 0.2684
Cl 0.7316 0.2684 0.7316
Cl 0.7316 0.7316 0.2684